Below is a geometry-optimized Ac2NpZnO6 structure, with properties calculated at the PBE level.

CIF file:
```
data_Ac2NpZnO6
_chemical_formula_sum 'Ac4 Np2 Zn2 O12'
_cell_length_a 10.3684
_cell_length_b 5.8719
_cell_length_c 6.0220
_cell_angle_alpha 90.00
_cell_angle_beta 123.04
_cell_angle_gamma 90.00
_symmetry_space_group_name_H-M 'C 1 2/m 1'
_symmetry_Int_Tables_number 12
loop_
_symmetry_equiv_pos_as_xyz
'x,y,z'
'-x,-y,-z'
'-x,y,-z'
'x,-y,z'
'x+1/2,y+1/2,z'
'-x+1/2,-y+1/2,-z'
'-x+1/2,y+1/2,-z'
'x+1/2,-y+1/2,z'
loop_
_atom_site_label
_atom_site_type_symbol
_atom_site_fract_x
_atom_site_fract_y
_atom_site_fract_z
Ac1 Ac 0.2436 0.0000 0.2214
Np1 Np 0.0000 0.0000 0.5000
Zn1 Zn 0.0000 0.5000 0.0000
O1 O 0.0646 0.2529 0.8233
O2 O 0.2432 0.0000 0.6344
```

Computed properties:
total magnetization	6.0	μB per cell
E_form (uncorrected)	-2.78	eV/atom